No. 1
DFT (PBE+U) results for Ba2NbVO6 after structural relaxation.

## Properties
- Final energy: -78.04 eV per cell

Unit cell a=5.8244 b=5.8002 c=5.8001 alpha=120.01 beta=119.87 gamma=89.99
Closest atoms and distances in Å follow each position.
Sites, in units of the cell vectors:
O: 0.7468 0.7474 0.9996  1 Nb 2.03, 1 V 2.08
O: 0.2532 0.2526 0.0004  1 Nb 2.03, 1 V 2.08
O: 0.2534 0.2526 0.5052  1 Nb 2.03, 1 V 2.08
O: 0.7466 0.7474 0.4948  1 Nb 2.03, 1 V 2.08
Ba: 0.2482 0.7494 0.4988  12 O 2.90-2.92
O: 0.2531 0.7479 0.0005  1 Nb 2.03, 1 V 2.08
Ba: 0.7518 0.2506 0.5012  12 O 2.90-2.92
O: 0.7469 0.2521 0.9995  1 Nb 2.03, 1 V 2.08
V: 0.0000 0.0000 0.0000  6 O 2.08
Nb: 0.5000 0.5000 0.0000  6 O 2.03

=====

No. 2
DFT (PBE+U) results for Ba4Nb3VO12 after structural relaxation.

## Properties
- Final energy: -159.54 eV per cell

Unit cell a=7.1823 b=7.1823 c=7.1823 alpha=109.47 beta=109.47 gamma=109.47
Closest atoms and distances in Å follow each position.
Sites, in units of the cell vectors:
O: 0.2500 0.7500 0.5000  2 Nb 2.07
Nb: 0.0000 0.5000 0.5000  6 O 2.01-2.07
O: 0.7500 0.5000 0.2500  2 Nb 2.07
O: 0.2500 0.5000 0.7500  2 Nb 2.07
O: 0.0000 0.2582 0.2582  1 Nb 2.01, 1 V 2.14
O: 0.0000 0.7418 0.7418  1 Nb 2.01, 1 V 2.14
Ba: 0.5000 0.0000 0.0000  12 O 2.93
O: 0.7418 0.7418 0.0000  1 Nb 2.01, 1 V 2.14
V: 0.0000 0.0000 0.0000  6 O 2.14
O: 0.2582 0.2582 0.0000  1 Nb 2.01, 1 V 2.14
O: 0.5000 0.7500 0.2500  2 Nb 2.07
O: 0.2582 0.0000 0.2582  1 Nb 2.01, 1 V 2.14
Nb: 0.5000 0.5000 0.0000  6 O 2.01-2.07
Nb: 0.5000 0.0000 0.5000  6 O 2.01-2.07
O: 0.5000 0.2500 0.7500  2 Nb 2.07
O: 0.7500 0.2500 0.5000  2 Nb 2.07
Ba: 0.0000 0.5000 0.0000  12 O 2.93
O: 0.7418 0.0000 0.7418  1 Nb 2.01, 1 V 2.14
Ba: 0.0000 0.0000 0.5000  12 O 2.93
Ba: 0.5000 0.5000 0.5000  12 O 2.93